1.
## LaMg2Mo (PBE-GGA)

Data for crystalline LaMg2Mo at its relaxed geometry.

Polymorph energy (0 for the lowest one): 7.26 kJ per mole of atoms

abc: 3.4769 3.4769 7.9944
angles: 90.00 90.00 90.00
Space group P4mm (No. 99)
Symmetry-distinct sites (fractional):
La  0.0000  0.0000  0.0000 (multiplicity 1)
Mg  0.0000  0.0000  0.5730 (multiplicity 1)
Mg  0.5000  0.5000  0.3427 (multiplicity 1)
Mo  0.5000  0.5000  0.7551 (multiplicity 1)

2.
## AlNi (PBE-GGA)

Data for crystalline AlNi at its relaxed geometry.

abc: 2.7612 10.5279 13.8401
angles: 90.00 90.00 90.00
Space group Fddd (No. 70, origin choice 2)
Symmetry-distinct sites (fractional):
Al  0.1250  0.2601  0.1250 (multiplicity 16)
Ni  0.1250  0.1250  0.5200 (multiplicity 16)

3.
## NaSrNbZn2 (PBE-GGA)

Data for crystalline NaSrNbZn2 at its relaxed geometry.

abc: 5.0539 5.0539 5.2514
angles: 90.00 90.00 90.00
Space group P4/mmm (No. 123)
Symmetry-distinct sites (fractional):
Na  0.0000  0.0000  0.0000 (multiplicity 1)
Sr  0.5000  0.5000  0.5000 (multiplicity 1)
Nb  0.0000  0.0000  0.5000 (multiplicity 1)
Zn  0.0000  0.5000  0.0000 (multiplicity 2)

| no. | formation enthalpy at 0 K (meV/atom) | DOS at the Fermi energy (states/eV/atom) | electronic total energy (eV per atom) |
| --- | --- | --- | --- |
| 1 | 373 | 0.918 | -4.364 |
| 2 | -478 | 0.388 | -5.240 |
| 3 | 996 | 0.564 | -2.127 |